1.
Density functional theory data (PBE) for Nd3Hf after structural relaxation.

Calculated values
VASP energy	-5.8594	eV per atom
space group	Imm2
distance to the lowest polymorph of the same formula	0.015	eV per atom
crystal system	orthorhombic

POSCAR file:
```
Nd3Hf
1.0
3.530 0.000 0.000
0.000 6.147 0.000
-1.765 -3.074 5.759
Hf Nd
1 3
Cartesian
0.000 0.032 0.000
1.765 3.010 0.000
0.000 2.065 3.027
1.765 -1.009 2.732
```

2.
Density functional theory data (PBE) for RbNa2Au after structural relaxation.

Calculated values
VASP energy	-1.8756	eV per atom
space group	R3m
distance to the lowest polymorph of the same formula	0.030	eV per atom
crystal system	trigonal

POSCAR file:
```
RbNa2Au
1.0
-0.227 3.561 -3.807
-4.414 0.647 -2.707
-3.498 5.806 2.064
Na Rb Au
2 1 1
Cartesian
-1.767 1.898 -1.695
-3.348 5.468 1.739
-4.112 5.104 -2.132
-6.480 8.358 -2.523
```

3.
Density functional theory data (PBE) for RbTaPt3 after structural relaxation.

Calculated values
VASP energy	-3.5911	eV per atom
space group	Pm-3m
distance to the lowest polymorph of the same formula	2.184	eV per atom
crystal system	cubic

POSCAR file:
```
RbTaPt3
1.0
4.902 0.000 0.000
0.000 4.902 0.000
0.000 0.000 4.902
Pt Rb Ta
3 1 1
Cartesian
2.451 0.000 0.000
0.000 2.451 0.000
0.000 0.000 2.451
0.000 0.000 0.000
2.451 2.451 2.451
```

4.
Density functional theory data (PBE) for Ca2Mg2Zn after structural relaxation.

Calculated values
VASP energy	-1.5487	eV per atom
space group	P4/mbm
distance to the lowest polymorph of the same formula	0.274	eV per atom
crystal system	tetragonal

POSCAR file:
```
Ca2Mg2Zn
1.0
-1.872 -7.774 1.295
7.859 -1.742 0.906
-0.354 0.878 4.760
Mg Zn Ca
4 2 4
Cartesian
5.372 -6.041 3.988
0.260 -2.596 2.973
1.035 -6.863 3.817
4.598 -1.775 3.144
2.993 -4.758 1.100
0.000 0.000 0.000
5.974 -4.121 1.205
3.599 -7.689 1.686
2.388 -1.827 0.515
0.012 -5.395 0.996
```